No. 1
# K3Ac3ThTe8 GGA-PBE relaxed
# calculated density	5.1	g/cm³
# crystal system	monoclinic
# DFT total energy	-69.6	eV for the cell shown
data_K3Ac3ThTe8
_chemical_formula_sum 'K3 Ac3 Th1 Te8'
_cell_length_a 9.5771
_cell_length_b 9.5771
_cell_length_c 10.0221
_cell_angle_alpha 118.59
_cell_angle_beta 118.59
_cell_angle_gamma 60.00
_symmetry_space_group_name_H-M 'P 1'
_symmetry_Int_Tables_number 1
loop_
_symmetry_equiv_pos_as_xyz
'x,y,z'
loop_
_atom_site_label
_atom_site_fract_x
_atom_site_fract_y
_atom_site_fract_z
_atom_site_occupancy
K1 0.0000 0.0000 0.0000 1
K2 0.0000 0.5000 0.0000 1
K3 0.5000 0.0000 0.0000 1
Ac1 0.0000 0.5000 0.5000 1
Ac2 0.5000 0.0000 0.5000 1
Ac3 0.5000 0.5000 0.5000 1
Th1 0.0000 0.0000 0.5000 1
Te1 0.2295 0.2295 0.7124 1
Te2 0.2294 0.7538 0.7124 1
Te3 0.2462 0.7706 0.2876 1
Te4 0.2587 0.2587 0.2764 1
Te5 0.7413 0.7413 0.7236 1
Te6 0.7538 0.2294 0.7124 1
Te7 0.7706 0.2462 0.2876 1
Te8 0.7705 0.7705 0.2876 1

---

No. 2
# DyY2MgN GGA-PBE relaxed
# calculated density	5.4	g/cm³
# crystal system	tetragonal
# DFT total energy	-31.0	eV for the cell shown
data_DyY2MgN
_chemical_formula_sum 'Dy1 Y2 Mg1 N1'
_cell_length_a 4.8849
_cell_length_b 4.8849
_cell_length_c 4.8738
_cell_angle_alpha 90.00
_cell_angle_beta 90.00
_cell_angle_gamma 90.00
_symmetry_space_group_name_H-M 'P 1'
_symmetry_Int_Tables_number 1
loop_
_symmetry_equiv_pos_as_xyz
'x,y,z'
loop_
_atom_site_label
_atom_site_fract_x
_atom_site_fract_y
_atom_site_fract_z
_atom_site_occupancy
Dy1 0.0000 0.0000 0.0000 1
Y1 0.0000 0.5000 0.5000 1
Y2 0.5000 0.0000 0.5000 1
Mg1 0.5000 0.5000 0.0000 1
N1 0.0000 0.0000 0.5000 1

---

No. 3
# KGaFeH6 GGA-PBE relaxed
# calculated density	3.0	g/cm³
# crystal system	trigonal
# DFT total energy	-33.6	eV for the cell shown
data_KGaFeH6
_chemical_formula_sum 'K1 Ga1 Fe1 H6'
_cell_length_a 4.3046
_cell_length_b 4.3046
_cell_length_c 5.9190
_cell_angle_alpha 90.00
_cell_angle_beta 90.00
_cell_angle_gamma 120.00
_symmetry_space_group_name_H-M 'P 1'
_symmetry_Int_Tables_number 1
loop_
_symmetry_equiv_pos_as_xyz
'x,y,z'
loop_
_atom_site_label
_atom_site_fract_x
_atom_site_fract_y
_atom_site_fract_z
_atom_site_occupancy
K1 0.0000 0.0000 0.0000 1
Ga1 0.3333 0.6667 0.5000 1
Fe1 0.6667 0.3333 0.5000 1
H1 0.3761 0.0596 0.6684 1
H2 0.3761 0.3165 0.3316 1
H3 0.6835 0.0596 0.3316 1
H4 0.6835 0.6239 0.6684 1
H5 0.9404 0.3165 0.6684 1
H6 0.9404 0.6239 0.3316 1

---

No. 4
# KCo2P2 GGA-PBE relaxed
# calculated density	4.0	g/cm³
# crystal system	tetragonal
# energy relative to the elements	-42	kJ/mol of formula units
# DFT total energy	-53.1	eV for the cell shown
data_KCo2P2
_chemical_formula_sum 'K2 Co4 P4'
_cell_length_a 3.9804
_cell_length_b 3.9804
_cell_length_c 11.3749
_cell_angle_alpha 90.00
_cell_angle_beta 90.00
_cell_angle_gamma 90.00
_symmetry_space_group_name_H-M 'P 1'
_symmetry_Int_Tables_number 1
loop_
_symmetry_equiv_pos_as_xyz
'x,y,z'
loop_
_atom_site_label
_atom_site_fract_x
_atom_site_fract_y
_atom_site_fract_z
_atom_site_occupancy
K1 0.0000 0.0000 0.0000 1
K2 0.5000 0.5000 0.5000 1
Co1 0.0000 0.0000 0.3362 1
Co2 0.0000 0.0000 0.6638 1
Co3 0.5000 0.5000 0.1638 1
Co4 0.5000 0.5000 0.8362 1
P1 0.0000 0.5000 0.2500 1
P2 0.0000 0.5000 0.7500 1
P3 0.5000 0.0000 0.2500 1
P4 0.5000 0.0000 0.7500 1

---

No. 5
# CaTb2SnO6 GGA-PBE relaxed
# calculated density	6.6	g/cm³
# crystal system	trigonal
# DFT total energy	-73.7	eV for the cell shown
data_CaTb2SnO6
_chemical_formula_sum 'Ca1 Tb2 Sn1 O6'
_cell_length_a 6.0267
_cell_length_b 6.0267
_cell_length_c 6.0267
_cell_angle_alpha 56.95
_cell_angle_beta 56.95
_cell_angle_gamma 56.95
_symmetry_space_group_name_H-M 'P 1'
_symmetry_Int_Tables_number 1
loop_
_symmetry_equiv_pos_as_xyz
'x,y,z'
loop_
_atom_site_label
_atom_site_fract_x
_atom_site_fract_y
_atom_site_fract_z
_atom_site_occupancy
Ca1 0.0000 0.0000 0.0000 1
Tb1 0.2777 0.2777 0.2777 1
Tb2 0.7808 0.7808 0.7808 1
Sn1 0.4890 0.4890 0.4890 1
O1 0.1140 0.6728 0.3950 1
O2 0.2146 0.5925 0.8557 1
O3 0.3950 0.1140 0.6728 1
O4 0.5925 0.8557 0.2146 1
O5 0.6728 0.3950 0.1140 1
O6 0.8557 0.2146 0.5925 1

---

No. 6
# BeAsIr2 GGA-PBE relaxed
# calculated density	14.6	g/cm³
# crystal system	cubic
# distance to the lowest polymorph of the same formula	97	meV/atom
# energy relative to the elements	-25	kJ/mol of formula units
# DFT total energy	-105.4	eV for the cell shown
data_BeAsIr2
_chemical_formula_sum 'Be4 As4 Ir8'
_cell_length_a 5.9689
_cell_length_b 5.9689
_cell_length_c 5.9689
_cell_angle_alpha 90.00
_cell_angle_beta 90.00
_cell_angle_gamma 90.00
_symmetry_space_group_name_H-M 'P 1'
_symmetry_Int_Tables_number 1
loop_
_symmetry_equiv_pos_as_xyz
'x,y,z'
loop_
_atom_site_label
_atom_site_fract_x
_atom_site_fract_y
_atom_site_fract_z
_atom_site_occupancy
Be1 0.0000 0.0000 0.0000 1
Be2 0.0000 0.5000 0.5000 1
Be3 0.5000 0.0000 0.5000 1
Be4 0.5000 0.5000 0.0000 1
As1 0.0000 0.0000 0.5000 1
As2 0.0000 0.5000 0.0000 1
As3 0.5000 0.0000 0.0000 1
As4 0.5000 0.5000 0.5000 1
Ir1 0.2500 0.2500 0.2500 1
Ir2 0.2500 0.2500 0.7500 1
Ir3 0.2500 0.7500 0.2500 1
Ir4 0.2500 0.7500 0.7500 1
Ir5 0.7500 0.2500 0.2500 1
Ir6 0.7500 0.2500 0.7500 1
Ir7 0.7500 0.7500 0.2500 1
Ir8 0.7500 0.7500 0.7500 1

---

No. 7
# EuTm2Th GGA-PBE relaxed
# calculated density	9.2	g/cm³
# crystal system	tetragonal
# distance to the lowest polymorph of the same formula	103	meV/atom
# energy relative to the elements	58	kJ/mol of formula units
# DFT total energy	-26.0	eV for the cell shown
data_EuTm2Th
_chemical_formula_sum 'Eu1 Tm2 Th1'
_cell_length_a 5.8383
_cell_length_b 5.8383
_cell_length_c 3.8204
_cell_angle_alpha 90.00
_cell_angle_beta 90.00
_cell_angle_gamma 90.00
_symmetry_space_group_name_H-M 'P 1'
_symmetry_Int_Tables_number 1
loop_
_symmetry_equiv_pos_as_xyz
'x,y,z'
loop_
_atom_site_label
_atom_site_fract_x
_atom_site_fract_y
_atom_site_fract_z
_atom_site_occupancy
Eu1 0.0000 0.0000 0.0000 1
Tm1 0.0000 0.5000 0.5000 1
Tm2 0.5000 0.0000 0.5000 1
Th1 0.5000 0.5000 0.0000 1

---

No. 8
# Tb2Ho3Ni2 GGA-PBE relaxed
# calculated density	8.9	g/cm³
# crystal system	monoclinic
# energy relative to the elements	-175	kJ/mol of formula units
# DFT total energy	-72.7	eV for the cell shown
data_Tb2Ho3Ni2
_chemical_formula_sum 'Tb4 Ho6 Ni4'
_cell_length_a 12.1060
_cell_length_b 3.5970
_cell_length_c 8.9445
_cell_angle_alpha 90.00
_cell_angle_beta 116.61
_cell_angle_gamma 90.00
_symmetry_space_group_name_H-M 'P 1'
_symmetry_Int_Tables_number 1
loop_
_symmetry_equiv_pos_as_xyz
'x,y,z'
loop_
_atom_site_label
_atom_site_fract_x
_atom_site_fract_y
_atom_site_fract_z
_atom_site_occupancy
Tb1 0.1661 0.0000 0.3102 1
Tb2 0.3339 0.5000 0.6898 1
Tb3 0.6661 0.5000 0.3102 1
Tb4 0.8339 0.0000 0.6898 1
Ho1 0.0000 0.5000 0.5000 1
Ho2 0.1157 0.5000 0.9332 1
Ho3 0.3843 0.0000 0.0668 1
Ho4 0.5000 0.0000 0.5000 1
Ho5 0.6157 0.0000 0.9332 1
Ho6 0.8843 0.5000 0.0668 1
Ni1 0.1722 0.0000 0.7387 1
Ni2 0.3278 0.5000 0.2613 1
Ni3 0.6722 0.5000 0.7387 1
Ni4 0.8278 0.0000 0.2613 1

---

Which of these has the lowest DFT total energy?
BeAsIr2

---

Copy entry 1 word for word.
# K3Ac3ThTe8 GGA-PBE relaxed
# calculated density	5.1	g/cm³
# crystal system	monoclinic
# DFT total energy	-69.6	eV for the cell shown
data_K3Ac3ThTe8
_chemical_formula_sum 'K3 Ac3 Th1 Te8'
_cell_length_a 9.5771
_cell_length_b 9.5771
_cell_length_c 10.0221
_cell_angle_alpha 118.59
_cell_angle_beta 118.59
_cell_angle_gamma 60.00
_symmetry_space_group_name_H-M 'P 1'
_symmetry_Int_Tables_number 1
loop_
_symmetry_equiv_pos_as_xyz
'x,y,z'
loop_
_atom_site_label
_atom_site_fract_x
_atom_site_fract_y
_atom_site_fract_z
_atom_site_occupancy
K1 0.0000 0.0000 0.0000 1
K2 0.0000 0.5000 0.0000 1
K3 0.5000 0.0000 0.0000 1
Ac1 0.0000 0.5000 0.5000 1
Ac2 0.5000 0.0000 0.5000 1
Ac3 0.5000 0.5000 0.5000 1
Th1 0.0000 0.0000 0.5000 1
Te1 0.2295 0.2295 0.7124 1
Te2 0.2294 0.7538 0.7124 1
Te3 0.2462 0.7706 0.2876 1
Te4 0.2587 0.2587 0.2764 1
Te5 0.7413 0.7413 0.7236 1
Te6 0.7538 0.2294 0.7124 1
Te7 0.7706 0.2462 0.2876 1
Te8 0.7705 0.7705 0.2876 1

---

What is the formula in the first record?
K3Ac3ThTe8

---

Repeat the first record exactly.
# K3Ac3ThTe8 GGA-PBE relaxed
# calculated density	5.1	g/cm³
# crystal system	monoclinic
# DFT total energy	-69.6	eV for the cell shown
data_K3Ac3ThTe8
_chemical_formula_sum 'K3 Ac3 Th1 Te8'
_cell_length_a 9.5771
_cell_length_b 9.5771
_cell_length_c 10.0221
_cell_angle_alpha 118.59
_cell_angle_beta 118.59
_cell_angle_gamma 60.00
_symmetry_space_group_name_H-M 'P 1'
_symmetry_Int_Tables_number 1
loop_
_symmetry_equiv_pos_as_xyz
'x,y,z'
loop_
_atom_site_label
_atom_site_fract_x
_atom_site_fract_y
_atom_site_fract_z
_atom_site_occupancy
K1 0.0000 0.0000 0.0000 1
K2 0.0000 0.5000 0.0000 1
K3 0.5000 0.0000 0.0000 1
Ac1 0.0000 0.5000 0.5000 1
Ac2 0.5000 0.0000 0.5000 1
Ac3 0.5000 0.5000 0.5000 1
Th1 0.0000 0.0000 0.5000 1
Te1 0.2295 0.2295 0.7124 1
Te2 0.2294 0.7538 0.7124 1
Te3 0.2462 0.7706 0.2876 1
Te4 0.2587 0.2587 0.2764 1
Te5 0.7413 0.7413 0.7236 1
Te6 0.7538 0.2294 0.7124 1
Te7 0.7706 0.2462 0.2876 1
Te8 0.7705 0.7705 0.2876 1